This record from Alexandria describes a geometry-optimized Pr2ErTm7 structure. The functional is PBE.

a = 3.4314 Å, b = 11.1086 Å, c = 11.1086 Å
α = 123.12°, β = 90.00°, γ = 90.00°
Closest atoms and distances in Å follow each position.
Element x y z (fractional)
1 Pr 0.5000 0.6816 0.3184  5 Tm 3.38-3.55, 2 Pr 3.43
2 Pr 0.5000 0.3184 0.6816  5 Tm 3.38-3.55, 2 Pr 3.43
3 Er 0.0000 0.0000 0.0000  10 Tm 3.31-3.41, 2 Er 3.43
4 Tm 0.0000 0.8307 0.1693  1 Er 3.31, 2 Pr 3.38, 6 Tm 3.39-3.43
5 Tm 0.0000 0.1693 0.8307  1 Er 3.31, 2 Pr 3.38, 6 Tm 3.39-3.43
6 Tm 0.5000 0.1438 0.3153  6 Tm 3.32-3.43, 2 Er 3.41, 1 Pr 3.42
7 Tm 0.5000 0.8562 0.6847  6 Tm 3.32-3.43, 2 Er 3.41, 1 Pr 3.42
8 Tm 0.5000 0.3153 0.1438  6 Tm 3.32-3.43, 2 Er 3.41, 1 Pr 3.42
9 Tm 0.5000 0.6847 0.8562  6 Tm 3.32-3.43, 2 Er 3.41, 1 Pr 3.42
10 Tm 0.5000 0.5000 0.5000  6 Tm 3.32-3.43, 2 Pr 3.55

Output
The value obtained for the formation energy from the elements is 0.477 eV per atom. The calculation puts the density of states at the Fermi level at 15.6 states/eV per cell. Its symmetry is Cmmm (65). The value obtained for the total magnetization is 0.0 μB/cell. The value obtained for the distance to the lowest polymorph of the same formula is 450 meV/atom. The value obtained for the energy is -40.66 eV for the cell shown.

---

This record from Alexandria describes a geometry-optimized Pr3Er3Tm2 structure. The functional is PBE.

a = 5.0438 Å, b = 5.0802 Å, c = 10.7502 Å
α = 103.67°, β = 103.57°, γ = 90.00°
Closest atoms and distances in Å follow each position.
Element x y z (fractional)
1 Pr 0.1258 0.1258 0.2517  4 Tm 3.57, 6 Er 3.58-3.59, 2 Pr 3.60
2 Pr 0.0000 0.5000 0.0000  8 Er 3.58-3.61, 4 Pr 3.60
3 Pr 0.8742 0.8742 0.7483  4 Tm 3.57, 6 Er 3.58-3.59, 2 Pr 3.60
4 Er 0.6274 0.6274 0.2548  4 Tm 3.53-3.56, 6 Pr 3.58-3.61, 2 Er 3.62
5 Er 0.3726 0.3726 0.7452  4 Tm 3.53-3.56, 6 Pr 3.58-3.61, 2 Er 3.62
6 Er 0.5000 0.0000 0.0000  8 Pr 3.58-3.59, 4 Er 3.62
7 Tm 0.7507 0.2507 0.5015  4 Er 3.53-3.56, 4 Pr 3.57, 4 Tm 3.58
8 Tm 0.2493 0.7493 0.4985  4 Er 3.53-3.56, 4 Pr 3.57, 4 Tm 3.58

Output
The value obtained for the formation energy from the elements is 0.028 eV per atom. The calculation puts the density of states at the Fermi level at 12.3 states/eV per cell. Its symmetry is Immm (71). The value obtained for the total magnetization is 0.0 μB/cell. The value obtained for the distance to the lowest polymorph of the same formula is 0 meV/atom. The value obtained for the energy is -36.75 eV for the cell shown.

---

This record from Alexandria describes a geometry-optimized PrEr7Tm2 structure. The functional is PBE.

a = 5.3818 Å, b = 8.8157 Å, c = 9.3770 Å
α = 118.05°, β = 73.32°, γ = 127.68°
Closest atoms and distances in Å follow each position.
Element x y z (fractional)
1 Pr 0.0000 0.0000 0.0000  12 Er 3.33-3.71
2 Er 0.0001 0.7991 0.5980  4 Tm 3.16-3.49, 1 Pr 3.33
3 Er 0.9999 0.2009 0.4019  4 Tm 3.16-3.49, 1 Pr 3.33
4 Er 0.2478 0.6369 0.7782  8 Er 3.45-3.69, 3 Tm 3.51-3.60, 2 Pr 3.70
5 Er 0.7522 0.3631 0.2218  8 Er 3.45-3.69, 3 Tm 3.51-3.60, 2 Pr 3.70
6 Er 0.2471 0.8581 0.2218  8 Er 3.45-3.69, 3 Tm 3.52-3.60, 2 Pr 3.70-3.71
7 Er 0.7529 0.1419 0.7782  8 Er 3.45-3.69, 3 Tm 3.52-3.60, 2 Pr 3.70-3.71
8 Er 0.5000 0.5000 0.0000  2 Tm 3.30, 2 Pr 3.49, 8 Er 3.68-3.69
9 Tm 0.4998 0.6993 0.3987  9 Er 3.16-3.52
10 Tm 0.5002 0.3007 0.6013  9 Er 3.16-3.52

Output
The value obtained for the formation energy from the elements is 0.046 eV per atom. The calculation puts the density of states at the Fermi level at 17.0 states/eV per cell. Its symmetry is C2/m (12). The value obtained for the total magnetization is 0.0 μB/cell. The value obtained for the distance to the lowest polymorph of the same formula is 0 meV/atom. The value obtained for the energy is -45.20 eV for the cell shown.

---

This record from Alexandria describes a geometry-optimized Pr7Er4Tm structure. The functional is PBE.

a = 6.0340 Å, b = 9.7909 Å, c = 8.6497 Å
α = 61.42°, β = 69.59°, γ = 72.05°
Closest atoms and distances in Å follow each position.
Element x y z (fractional)
1 Pr 0.7905 0.8842 0.5348  6 Pr 3.33-3.70, 2 Er 3.71
2 Pr 0.2095 0.1158 0.4652  6 Pr 3.33-3.70, 2 Er 3.71
3 Pr 0.0855 0.5526 0.2765  3 Pr 3.34-3.70, 3 Er 3.48-3.54
4 Pr 0.9145 0.4474 0.7235  3 Pr 3.34-3.70, 3 Er 3.48-3.54
5 Pr 0.2126 0.7620 0.8128  1 Tm 3.16, 4 Er 3.23-3.50, 2 Pr 3.33-3.44
6 Pr 0.5000 0.0000 0.0000  2 Tm 3.02
7 Pr 0.7874 0.2380 0.1872  1 Tm 3.16, 4 Er 3.23-3.50, 2 Pr 3.33-3.44
8 Er 0.5696 0.3025 0.5584  2 Pr 3.30-3.52, 2 Er 3.40-3.62
9 Er 0.4304 0.6975 0.4416  2 Pr 3.30-3.52, 2 Er 3.40-3.62
10 Er 0.6704 0.6175 0.0417  7 Pr 3.23-3.54
11 Er 0.3296 0.3825 0.9583  7 Pr 3.23-3.54
12 Tm 0.0000 0.0000 0.0000  4 Pr 3.02-3.16

Output
The value obtained for the formation energy from the elements is 0.217 eV per atom. The calculation puts the density of states at the Fermi level at 18.9 states/eV per cell. Its symmetry is C2/m (12). The value obtained for the total magnetization is 0.0 μB/cell. The value obtained for the distance to the lowest polymorph of the same formula is 207 meV/atom. The value obtained for the energy is -53.57 eV for the cell shown.

---

Question: Which value of formation energy from the elements does entry 4 give?
Answer: 0.217 eV per atom